Record 1
First-principles (PBE) data for a relaxed NaCd6Hg4 crystal, as listed in Alexandria.

```
NaCd6Hg4
1.0
-2.076 -0.028 3.958
6.319 -4.763 3.281
0.475 8.548 0.310
Cd Hg Na
6 4 1
direct
0.500 0.200 0.399
0.500 0.200 0.800
0.500 0.601 0.800
0.000 0.925 0.463
0.000 0.537 0.075
0.000 0.537 0.463
0.500 0.813 0.625
0.000 0.333 0.667
0.500 0.375 0.187
0.500 0.813 0.187
0.000 0.000 0.000
```

Size of the total moment in μB/atom: 0.0000
Energy of formation from the pure elements in eV/atom: -0.032
VASP energy in eV for the cell shown: -8.36
Space group: P-6m2
DOS at the Fermi energy in states/eV/f.u.: 2.6
Crystal system: hexagonal

Record 2
First-principles (PBE) data for a relaxed Na6CdHg5 crystal, as listed in Alexandria.

```
Na6CdHg5
1.0
5.041 -0.024 -1.558
-1.037 6.644 -3.461
-0.222 0.435 9.169
Na Cd Hg
6 1 5
direct
0.831 0.578 0.661
0.169 0.916 0.339
0.500 0.744 0.000
0.500 0.256 0.000
0.169 0.422 0.339
0.831 0.084 0.661
0.000 0.000 0.000
0.660 0.161 0.321
0.333 0.334 0.667
0.667 0.666 0.333
0.340 0.839 0.679
0.000 0.500 0.000
```

Size of the total moment in μB/atom: 0.0000
Energy of formation from the pure elements in eV/atom: -0.219
VASP energy in eV for the cell shown: -12.97
Space group: C2/m
DOS at the Fermi energy in states/eV/f.u.: 3.3
Crystal system: monoclinic

Record 3
First-principles (PBE) data for a relaxed NaNdCd2Hg4 crystal, as listed in Alexandria.

```
NaNdCd2Hg4
1.0
5.079 0.000 0.000
2.539 4.398 0.000
2.539 1.466 8.691
Hg Cd Na Nd
4 2 1 1
direct
0.373 0.373 0.881
0.880 0.880 0.359
0.627 0.627 0.119
0.120 0.120 0.641
0.252 0.252 0.244
0.748 0.748 0.756
0.000 0.000 0.000
0.500 0.500 0.500
```

Size of the total moment in μB/atom: 0.0000
Energy of formation from the pure elements in eV/atom: -0.269
VASP energy in eV for the cell shown: -11.28
Space group: R-3m
DOS at the Fermi energy in states/eV/f.u.: 4.1
Crystal system: trigonal

Record 4
First-principles (PBE) data for a relaxed NaNdCdHg crystal, as listed in Alexandria.

```
NaNdCdHg
1.0
5.301 0.000 0.000
2.650 4.591 0.000
2.650 1.530 4.328
Nd Na Hg Cd
1 1 1 1
direct
0.500 0.500 0.500
0.000 0.000 0.000
0.250 0.250 0.250
0.750 0.750 0.750
```

Size of the total moment in μB/atom: 0.0000
Energy of formation from the pure elements in eV/atom: -0.282
VASP energy in eV for the cell shown: -8.43
Space group: F-43m
DOS at the Fermi energy in states/eV/f.u.: 2.9
Crystal system: cubic

Record 5
First-principles (PBE) data for a relaxed NaCdHgO2 crystal, as listed in Alexandria.

```
NaCdHgO2
1.0
-3.535 -3.887 -2.138
0.747 -3.385 4.920
-4.866 2.937 2.706
Na O Hg Cd
2 4 2 2
direct
0.507 0.500 0.250
0.493 0.500 0.750
0.653 0.228 0.500
0.347 0.228 0.000
0.347 0.772 0.500
0.653 0.772 0.000
0.000 0.000 0.000
0.000 0.000 0.500
0.498 0.000 0.250
0.502 0.000 0.750
```

Size of the total moment in μB/atom: 0.0152
Formation energy (no corrections) in eV/atom: -0.69
VASP energy in eV for the cell shown: -31.81
Space group: P2/c
DOS at the Fermi energy in states/eV/f.u.: 2.4
Crystal system: monoclinic

Record 6
First-principles (PBE) data for a relaxed Na2CdHgP crystal, as listed in Alexandria.

```
Na2CdHgP
1.0
5.485 0.000 0.000
0.000 5.485 0.000
0.000 0.000 5.111
Hg Cd Na P
1 1 2 1
direct
0.500 0.500 0.500
0.000 0.000 0.500
0.500 0.000 0.000
0.000 0.500 0.000
0.000 0.000 0.000
```

Size of the total moment in μB/atom: 0.0000
Energy of formation from the pure elements in eV/atom: -0.139
VASP energy in eV for the cell shown: -9.96
Space group: P4/mmm
DOS at the Fermi energy in states/eV/f.u.: 1.9
Crystal system: tetragonal

Record 7
First-principles (PBE) data for a relaxed NaCd2Hg5Pb crystal, as listed in Alexandria.

```
NaCd2Hg5Pb
1.0
3.579 0.000 0.000
-1.790 8.654 0.000
0.000 0.000 15.351
Hg Na Cd Pb
10 2 4 2
direct
0.391 0.782 0.052
0.949 0.898 0.573
0.051 0.102 0.073
0.578 0.157 0.244
0.609 0.218 0.552
0.737 0.473 0.156
0.263 0.527 0.656
0.699 0.398 0.806
0.301 0.602 0.306
0.422 0.843 0.744
0.465 0.930 0.404
0.535 0.070 0.904
0.923 0.845 0.215
0.077 0.155 0.715
0.138 0.276 0.390
0.862 0.724 0.890
0.788 0.575 0.483
0.212 0.425 0.983
```

Size of the total moment in μB/atom: 0.0000
Energy of formation from the pure elements in eV/atom: -0.034
VASP energy in eV for the cell shown: -17.35
Space group: Cmc2_1
DOS at the Fermi energy in states/eV/f.u.: 1.9
Crystal system: orthorhombic

Record 8
First-principles (PBE) data for a relaxed NaCdHg5Pb2 crystal, as listed in Alexandria.

```
NaCdHg5Pb2
1.0
3.774 0.000 0.000
-1.887 8.837 0.000
0.000 0.000 14.841
Pb Hg Cd Na
4 10 2 2
direct
0.912 0.825 0.833
0.088 0.175 0.333
0.176 0.353 0.679
0.824 0.647 0.179
0.267 0.534 0.350
0.459 0.918 0.245
0.015 0.031 0.090
0.647 0.293 0.163
0.541 0.082 0.745
0.611 0.222 0.507
0.389 0.778 0.007
0.985 0.969 0.590
0.353 0.707 0.663
0.733 0.466 0.850
0.779 0.559 0.515
0.221 0.441 0.015
0.574 0.147 0.943
0.426 0.853 0.443
```

Size of the total moment in μB/atom: 0.0000
Energy of formation from the pure elements in eV/atom: -0.022
VASP energy in eV for the cell shown: -22.72
Space group: Cmc2_1
DOS at the Fermi energy in states/eV/f.u.: 3.4
Crystal system: orthorhombic

Record 9
First-principles (PBE) data for a relaxed Na2CdHg4Pb2 crystal, as listed in Alexandria.

```
Na2CdHg4Pb2
1.0
-0.706 -5.800 -3.949
5.858 3.894 -0.502
0.947 -0.591 6.963
Pb Hg Na Cd
2 4 2 1
direct
0.500 0.250 0.750
0.500 0.750 0.250
0.000 0.281 0.719
0.561 0.281 0.281
0.439 0.719 0.719
0.000 0.719 0.281
0.000 0.286 0.286
0.000 0.714 0.714
0.000 0.000 0.000
```

Size of the total moment in μB/atom: 0.0000
Energy of formation from the pure elements in eV/atom: 0.010
VASP energy in eV for the cell shown: -12.09
Space group: I4/mmm
DOS at the Fermi energy in states/eV/f.u.: 3.1
Crystal system: tetragonal

Record 10
First-principles (PBE) data for a relaxed Na4CdHg2Pb2 crystal, as listed in Alexandria.

```
Na4CdHg2Pb2
1.0
5.799 1.168 0.848
0.118 8.114 -0.666
-2.023 -5.245 5.414
Na Hg Cd Pb
4 2 1 2
direct
0.595 0.816 0.042
0.405 0.184 0.958
0.325 0.246 0.569
0.675 0.754 0.431
0.166 0.702 0.122
0.834 0.298 0.878
0.000 0.000 0.000
0.209 0.610 0.487
0.791 0.390 0.513
```

Size of the total moment in μB/atom: 0.0000
Energy of formation from the pure elements in eV/atom: -0.137
VASP energy in eV for the cell shown: -15.45
Space group: P-1
DOS at the Fermi energy in states/eV/f.u.: 2.4
Crystal system: triclinic

Record 11
First-principles (PBE) data for a relaxed NaCd2Hg5Pb2 crystal, as listed in Alexandria.

```
NaCd2Hg5Pb2
1.0
-3.561 -1.571 -2.297
6.700 -5.303 -6.761
-0.345 -8.733 6.508
Hg Pb Na Cd
10 4 2 4
direct
0.500 0.798 0.972
0.500 0.972 0.202
0.500 0.298 0.528
0.500 0.528 0.702
0.500 0.028 0.798
0.500 0.702 0.472
0.500 0.500 0.000
0.500 0.000 0.500
0.500 0.472 0.298
0.500 0.202 0.028
0.000 0.162 0.338
0.000 0.338 0.838
0.000 0.838 0.662
0.000 0.662 0.162
0.000 0.500 0.500
0.000 0.000 0.000
0.000 0.641 0.859
0.000 0.859 0.359
0.000 0.359 0.141
0.000 0.141 0.641
```

Size of the total moment in μB/atom: 0.0000
Energy of formation from the pure elements in eV/atom: -0.021
VASP energy in eV for the cell shown: -24.56
Space group: P4/mbm
DOS at the Fermi energy in states/eV/f.u.: 2.7
Crystal system: tetragonal

Record 12
First-principles (PBE) data for a relaxed NaCdHgPb crystal, as listed in Alexandria.

```
NaCdHgPb
1.0
3.638 -0.001 0.004
-0.001 3.638 -0.004
-0.011 0.011 7.990
Pb Hg Cd Na
1 1 1 1
direct
0.146 0.854 0.706
0.146 0.854 0.231
0.647 0.353 0.454
0.646 0.354 0.998
```

Size of the total moment in μB/atom: 0.0000
Energy of formation from the pure elements in eV/atom: -0.103
VASP energy in eV for the cell shown: -6.66
Space group: Cm
DOS at the Fermi energy in states/eV/f.u.: 1.7
Crystal system: monoclinic

Record 13
First-principles (PBE) data for a relaxed NaCdHg2Pb crystal, as listed in Alexandria.

```
NaCdHg2Pb
1.0
-3.722 -0.964 -3.147
-0.606 -0.763 4.872
-2.196 6.200 0.698
Hg Pb Cd Na
2 1 1 1
direct
0.333 0.667 0.170
0.667 0.333 0.832
0.667 0.333 0.354
0.333 0.667 0.653
0.000 0.000 0.992
```

Size of the total moment in μB/atom: 0.0000
Energy of formation from the pure elements in eV/atom: -0.059
VASP energy in eV for the cell shown: -6.84
Space group: P3m1
DOS at the Fermi energy in states/eV/f.u.: 1.8
Crystal system: trigonal

Record 14
First-principles (PBE) data for a relaxed NaCd2Hg2Pb2 crystal, as listed in Alexandria.

```
NaCd2Hg2Pb2
1.0
-2.070 2.983 -2.936
-2.383 -1.752 3.613
3.896 10.006 7.422
Cd Pb Hg Na
2 2 2 1
direct
0.333 0.667 0.429
0.667 0.333 0.571
0.000 0.000 0.242
0.000 0.000 0.758
0.667 0.333 0.341
0.333 0.667 0.659
0.000 0.000 0.000
```

Size of the total moment in μB/atom: 0.0000
Energy of formation from the pure elements in eV/atom: 0.120
VASP energy in eV for the cell shown: -10.33
Space group: P-3m1
DOS at the Fermi energy in states/eV/f.u.: 2.1
Crystal system: trigonal

Record 15
First-principles (PBE) data for a relaxed Na2Cd2Hg5Pb crystal, as listed in Alexandria.

```
Na2Cd2Hg5Pb
1.0
4.206 0.000 0.000
0.000 11.470 0.000
0.000 0.000 11.470
Hg Pb Na Cd
10 2 4 4
direct
0.500 0.917 0.192
0.500 0.583 0.692
0.500 0.192 0.083
0.500 0.308 0.583
0.500 0.083 0.808
0.500 0.692 0.417
0.500 0.500 0.000
0.500 0.000 0.500
0.500 0.417 0.308
0.500 0.808 0.917
0.000 0.000 0.000
0.000 0.500 0.500
0.000 0.169 0.331
0.000 0.831 0.669
0.000 0.669 0.169
0.000 0.331 0.831
0.000 0.629 0.871
0.000 0.871 0.371
0.000 0.129 0.629
0.000 0.371 0.129
```

Size of the total moment in μB/atom: 0.0000
Energy of formation from the pure elements in eV/atom: -0.077
VASP energy in eV for the cell shown: -20.90
Space group: P4/mbm
DOS at the Fermi energy in states/eV/f.u.: 4.3
Crystal system: tetragonal

Record 16
First-principles (PBE) data for a relaxed Na2Cd2Hg4Pb crystal, as listed in Alexandria.

```
Na2Cd2Hg4Pb
1.0
5.745 0.203 0.124
-0.855 8.223 -0.775
-2.180 -4.803 5.507
Hg Pb Na Cd
4 1 2 2
direct
0.414 0.381 0.149
0.586 0.619 0.851
0.760 0.863 0.455
0.240 0.137 0.545
0.000 0.000 0.000
0.695 0.210 0.383
0.305 0.790 0.617
0.817 0.337 0.967
0.183 0.663 0.033
```

Size of the total moment in μB/atom: 0.0000
Energy of formation from the pure elements in eV/atom: -0.096
VASP energy in eV for the cell shown: -10.25
Space group: P-1
DOS at the Fermi energy in states/eV/f.u.: 3.1
Crystal system: triclinic

Record 17
First-principles (PBE) data for a relaxed NaCdHgPb crystal, as listed in Alexandria.

```
NaCdHgPb
1.0
-4.088 1.223 3.170
-4.979 -0.358 -1.826
-3.217 -3.835 1.787
Pb Na Hg Cd
1 1 1 1
direct
0.750 0.750 0.750
0.250 0.250 0.250
0.500 0.500 0.500
0.000 0.000 0.000
```

Size of the total moment in μB/atom: 0.0000
Energy of formation from the pure elements in eV/atom: -0.086
VASP energy in eV for the cell shown: -6.59
Space group: F-43m
DOS at the Fermi energy in states/eV/f.u.: 2.7
Crystal system: cubic

Record 18
First-principles (PBE) data for a relaxed NaCdHg3Pb crystal, as listed in Alexandria.

```
NaCdHg3Pb
1.0
-0.245 -2.437 2.909
7.738 1.131 -0.886
-0.427 8.424 7.022
Cd Hg Pb Na
2 6 2 2
direct
0.551 0.102 0.250
0.449 0.898 0.750
0.664 0.328 0.007
0.336 0.672 0.507
0.897 0.794 0.250
0.664 0.328 0.493
0.103 0.206 0.750
0.336 0.672 0.993
0.771 0.542 0.750
0.229 0.458 0.250
0.000 0.000 0.500
0.000 0.000 0.000
```

Size of the total moment in μB/atom: 0.0000
Energy of formation from the pure elements in eV/atom: -0.073
VASP energy in eV for the cell shown: -14.57
Space group: Cmcm
DOS at the Fermi energy in states/eV/f.u.: 2.3
Crystal system: orthorhombic

Record 19
First-principles (PBE) data for a relaxed NaCdHgPd crystal, as listed in Alexandria.

```
NaCdHgPd
1.0
-4.355 2.087 -0.125
-3.610 -1.781 2.671
-1.611 2.460 3.833
Cd Na Hg Pd
1 1 1 1
direct
0.500 0.500 0.500
0.250 0.250 0.250
0.000 0.000 0.000
0.750 0.750 0.750
```

Size of the total moment in μB/atom: 0.0000
Energy of formation from the pure elements in eV/atom: -0.206
VASP energy in eV for the cell shown: -8.55
Space group: F-43m
DOS at the Fermi energy in states/eV/f.u.: 1.4
Crystal system: cubic

Record 20
First-principles (PBE) data for a relaxed NaCd2HgPd crystal, as listed in Alexandria.

```
NaCd2HgPd
1.0
-2.582 -1.925 -4.121
0.411 -4.818 1.993
-4.601 0.671 2.569
Na Cd Pd Hg
1 2 1 1
direct
0.500 0.500 0.500
0.500 0.000 0.000
0.000 0.500 0.000
0.000 0.000 0.000
0.000 0.000 0.500
```

Size of the total moment in μB/atom: 0.0000
Energy of formation from the pure elements in eV/atom: -0.103
VASP energy in eV for the cell shown: -9.16
Space group: P4/mmm
DOS at the Fermi energy in states/eV/f.u.: 2.5
Crystal system: tetragonal